Record 1
Material: CaNdSmLu
Method: DFT, GGA-PBE
State: optimized geometry

```
4
Lattice="-3.946 4.189 -0.626 -5.641 -1.280 0.227 -3.171 1.690 4.538" Properties=species:S:1:pos:R:3 pbc="T T T"
Ca -3.189 1.150 1.035
Lu -9.568 3.450 3.104
Nd -6.379 2.300 2.069
Sm 0.000 0.000 0.000
```

VASP energy (eV per atom): -3.8850
ΔE_f (eV per atom): 0.12

***

Record 2
Material: CaTbNdLu
Method: DFT, GGA-PBE
State: optimized geometry

```
4
Lattice="5.760 0.000 0.000 2.880 4.988 0.000 2.880 1.663 4.703" Properties=species:S:1:pos:R:3 pbc="T T T"
Nd 0.000 0.000 0.000
Ca 2.880 1.663 1.176
Lu 8.640 4.988 3.527
Tb 5.760 3.325 2.351
```

VASP energy (eV per atom): -3.8509
ΔE_f (eV per atom): 0.13

***

Record 3
Material: CaNdLuTh
Method: DFT, GGA-PBE
State: optimized geometry

```
4
Lattice="5.758 0.000 0.000 2.879 4.987 0.000 2.879 1.662 4.701" Properties=species:S:1:pos:R:3 pbc="T T T"
Ca 2.879 1.662 1.175
Lu 0.000 0.000 0.000
Nd 5.758 3.324 2.351
Th 8.637 4.987 3.526
```

VASP energy (eV per atom): -4.4456
ΔE_f (eV per atom): 0.23

***

Record 4
Material: CaNdLuTl
Method: DFT, GGA-PBE
State: optimized geometry

```
4
Lattice="5.588 0.000 0.000 2.794 4.839 0.000 2.794 1.613 4.563" Properties=species:S:1:pos:R:3 pbc="T T T"
Tl 0.000 0.000 0.000
Lu 5.588 3.226 2.281
Nd 8.382 4.839 3.422
Ca 2.794 1.613 1.141
```

VASP energy (eV per atom): -3.4393
ΔE_f (eV per atom): -0.03

***

Record 5
Material: CaNdTmLu
Method: DFT, GGA-PBE
State: optimized geometry

```
4
Lattice="-3.693 -2.077 3.857 1.815 -3.644 4.032 0.309 1.695 5.465" Properties=species:S:1:pos:R:3 pbc="T T T"
Nd -0.785 -2.013 6.677
Ca -0.392 -1.007 3.338
Lu -1.177 -3.020 10.015
Tm 0.000 0.000 0.000
```

VASP energy (eV per atom): -3.7985
ΔE_f (eV per atom): 0.14

***

Record 6
Material: CaLuNi4
Method: DFT, GGA-PBE
State: optimized geometry

```
6
Lattice="5.037 0.000 0.000 2.519 4.363 0.000 2.519 1.454 4.113" Properties=species:S:1:pos:R:3 pbc="T T T"
Ni 5.038 2.908 0.520
Ni 5.038 1.460 2.569
Ni 6.292 3.633 2.569
Ni 3.783 3.633 2.569
Ca 0.000 0.000 0.000
Lu 2.519 1.454 1.028
```

VASP energy (eV per atom): -5.2798
ΔE_f (eV per atom): -0.34

***

Record 7
Material: CaLu2Ni
Method: DFT, GGA-PBE
State: optimized geometry

```
4
Lattice="3.371 0.000 0.000 0.000 3.371 0.000 0.000 0.000 9.200" Properties=species:S:1:pos:R:3 pbc="T T T"
Ni 1.685 1.685 0.000
Ca 1.685 1.685 4.600
Lu 0.000 0.000 7.619
Lu 0.000 0.000 1.581
```

VASP energy (eV per atom): -4.3842
ΔE_f (eV per atom): -0.18

***

Record 8
Material: CaLuNi
Method: DFT, GGA-PBE
State: optimized geometry

```
3
Lattice="-0.173 3.393 0.261 -3.246 -0.086 -1.034 -0.182 -2.211 6.371" Properties=species:S:1:pos:R:3 pbc="T T T"
Ni -2.397 1.451 1.788
Ca -0.113 -0.033 0.358
Lu -1.091 -0.322 3.453
```

VASP energy (eV per atom): -4.2859
ΔE_f (eV per atom): -0.18

***

Record 9
Material: CaLu3Ni
Method: DFT, GGA-PBE
State: optimized geometry

```
5
Lattice="5.261 0.000 0.000 0.000 5.261 0.000 0.000 0.000 5.261" Properties=species:S:1:pos:R:3 pbc="T T T"
Ni 0.000 0.000 0.000
Ca 2.631 2.631 2.631
Lu 0.000 2.631 0.000
Lu 0.000 0.000 2.631
Lu 2.631 0.000 0.000
```

VASP energy (eV per atom): -4.3592
ΔE_f (eV per atom): -0.09

***

Record 10
Material: CaLuZnNi
Method: DFT, GGA-PBE
State: optimized geometry

```
4
Lattice="-3.547 -2.006 -2.689 -3.976 -1.820 2.171 -4.294 2.277 -0.466" Properties=species:S:1:pos:R:3 pbc="T T T"
Ni -2.954 -0.387 -0.246
Zn -8.863 -1.162 -0.738
Lu -5.909 -0.775 -0.492
Ca 0.000 0.000 0.000
```

VASP energy (eV per atom): -3.5968
ΔE_f (eV per atom): -0.20

***

Record 11
Material: CaLu2O
Method: DFT, GGA-PBE
State: optimized geometry

```
4
Lattice="-2.457 -2.249 0.820 0.805 -3.283 0.580 0.701 0.037 9.371" Properties=species:S:1:pos:R:3 pbc="T T T"
Ca 0.000 0.000 0.000
Lu 0.252 -0.638 6.175
Lu -1.202 -4.857 4.597
O -0.475 -2.748 5.386
```

VASP energy (eV per atom): -5.1641

***

Record 12
Material: CaLuOs4
Method: DFT, GGA-PBE
State: optimized geometry

```
6
Lattice="5.329 0.000 0.000 2.665 4.615 0.000 2.665 1.538 4.351" Properties=species:S:1:pos:R:3 pbc="T T T"
Ca 2.665 1.538 1.088
Lu 0.000 0.000 0.000
Os 5.329 3.077 0.543
Os 5.329 1.537 2.720
Os 6.662 3.846 2.720
Os 3.996 3.846 2.720
```

VASP energy (eV per atom): -8.6634
ΔE_f (eV per atom): -0.09

***

Record 13
Material: CaLuP2
Method: DFT, GGA-PBE
State: optimized geometry

```
4
Lattice="3.971 0.000 0.000 1.986 3.439 0.000 1.986 1.146 6.735" Properties=species:S:1:pos:R:3 pbc="T T T"
P 1.986 1.146 1.552
P 5.957 3.439 5.183
Ca 3.971 2.293 3.367
Lu 0.000 0.000 0.000
```

VASP energy (eV per atom): -5.5116
ΔE_f (eV per atom): -1.18

***

Record 14
Material: Ca2LuPb
Method: DFT, GGA-PBE
State: optimized geometry

```
4
Lattice="-2.329 1.322 -2.445 -2.073 -2.259 -1.936 -10.270 0.296 7.256" Properties=species:S:1:pos:R:3 pbc="T T T"
Pb 0.000 0.000 0.000
Ca -7.961 0.137 4.970
Ca -6.711 -0.778 -2.094
Lu -7.336 -0.321 1.438
```

VASP energy (eV per atom): -2.9689
E above lowest polymorph (meV/atom): 339.8
ΔE_f (eV per atom): 0.09

***

Record 15
Material: CaLu2Pb
Method: DFT, GGA-PBE
State: optimized geometry

```
4
Lattice="3.534 0.000 0.000 1.767 3.061 0.000 1.767 1.020 11.795" Properties=species:S:1:pos:R:3 pbc="T T T"
Pb 3.534 2.040 5.898
Ca 0.000 0.000 0.000
Lu 1.767 1.020 8.462
Lu 5.301 3.061 3.334
```

VASP energy (eV per atom): -3.5882
E above lowest polymorph (meV/atom): 280.9
ΔE_f (eV per atom): 0.10

***

Record 16
Material: CaLu2Pb
Method: DFT, GGA-PBE
State: optimized geometry

```
4
Lattice="-1.560 2.728 3.679 0.386 -3.829 3.003 4.605 1.261 1.017" Properties=species:S:1:pos:R:3 pbc="T T T"
Pb -0.780 1.364 1.840
Ca 1.715 0.080 3.849
Lu 2.302 0.631 0.509
Lu 0.193 -1.915 1.501
```

VASP energy (eV per atom): -3.8692
E above lowest polymorph (meV/atom): 0.0
ΔE_f (eV per atom): -0.18

***

Record 17
Material: Ca2LuPb
Method: DFT, GGA-PBE
State: optimized geometry

```
4
Lattice="5.105 0.000 0.000 0.000 4.900 0.000 0.000 0.000 4.900" Properties=species:S:1:pos:R:3 pbc="T T T"
Pb 2.553 0.000 0.000
Ca 0.000 0.000 2.450
Ca 0.000 2.450 0.000
Lu 2.553 2.450 2.450
```

VASP energy (eV per atom): -3.3088
E above lowest polymorph (meV/atom): 0.0
ΔE_f (eV per atom): -0.25

***

Record 18
Material: CaLuPb2
Method: DFT, GGA-PBE
State: optimized geometry

```
4
Lattice="-0.111 -1.872 -3.018 0.262 -3.016 1.861 -8.996 -0.416 0.590" Properties=species:S:1:pos:R:3 pbc="T T T"
Pb -6.830 -0.316 0.448
Pb -2.166 -0.100 0.142
Ca -4.423 -2.652 -0.284
Lu 0.075 -2.444 -0.579
```

VASP energy (eV per atom): -3.9174
ΔE_f (eV per atom): -0.43

***

Record 19
Material: CaLuPb2
Method: DFT, GGA-PBE
State: optimized geometry

```
4
Lattice="4.344 0.000 0.000 0.000 5.144 0.000 0.000 0.000 5.144" Properties=species:S:1:pos:R:3 pbc="T T T"
Pb 0.000 0.000 2.572
Pb 0.000 2.572 0.000
Ca 2.172 0.000 0.000
Lu 2.172 2.572 2.572
```

VASP energy (eV per atom): -3.8707
ΔE_f (eV per atom): -0.39

***

Record 20
Material: CaLuPdPb
Method: DFT, GGA-PBE
State: optimized geometry

```
4
Lattice="5.168 0.000 0.000 2.584 4.476 0.000 2.584 1.492 4.220" Properties=species:S:1:pos:R:3 pbc="T T T"
Pb 7.752 4.476 3.165
Ca 5.168 2.984 2.110
Lu 0.000 0.000 0.000
Pd 2.584 1.492 1.055
```

VASP energy (eV per atom): -4.4260
ΔE_f (eV per atom): -0.57